Entry 1:
The following is a PBE calculation of a relaxed structure of ZrBAu, from Alexandria. Values from VASP.

Output
Volume in Å³ per atom: 15.325
Total magnetization in μB per formula unit: 0.00
Density of states at the Fermi level in states/eV/atom: 0.327

Geometry as Quantum ESPRESSO input:
```
&SYSTEM
  ibrav = 0, nat = 6, ntyp = 3
/
ATOMIC_SPECIES
B 10.81 B.upf
Au 196.97 Au.upf
Zr 91.22 Zr.upf
CELL_PARAMETERS angstrom
3.2265 -0.0013 0.0021
-1.6069 10.5742 -0.0037
-1.6155 0.7395 2.6940
ATOMIC_POSITIONS crystal
B 0.7056 0.3984 0.6724
B 0.0389 0.3962 0.3414
Au 0.0394 0.7854 0.9525
Au 0.7052 0.0092 0.0613
Zr 0.3724 0.2299 0.1742
Zr 0.3721 0.5647 0.8396
```

***

Entry 2:
The following is a PBE calculation of a relaxed structure of ZrBAu, from Alexandria. Values from VASP.

Output
Volume in Å³ per atom: 16.226
Total magnetization in μB per formula unit: 0.00
Density of states at the Fermi level in states/eV/atom: 0.616

Geometry as Quantum ESPRESSO input:
```
&SYSTEM
  ibrav = 0, nat = 6, ntyp = 3
/
ATOMIC_SPECIES
B 10.81 B.upf
Au 196.97 Au.upf
Zr 91.22 Zr.upf
CELL_PARAMETERS angstrom
-0.3645 -3.5290 0.0801
4.8751 -4.2154 -6.5080
2.5525 -0.2187 1.9975
ATOMIC_POSITIONS crystal
B 0.4160 0.4291 0.1343
B 0.6119 0.2333 0.1364
Au 0.7890 0.0559 0.6433
Au 0.4956 0.8491 0.1533
Zr 0.1914 0.6528 0.6660
Zr 0.0096 0.3355 0.6243
```

***

Entry 3:
The following is a PBE calculation of a relaxed structure of ZrBAu, from Alexandria. Values from VASP.

Output
Volume in Å³ per atom: 14.704
Total magnetization in μB per formula unit: 0.00
Density of states at the Fermi level in states/eV/atom: 0.225

Geometry as Quantum ESPRESSO input:
```
&SYSTEM
  ibrav = 0, nat = 6, ntyp = 3
/
ATOMIC_SPECIES
B 10.81 B.upf
Au 196.97 Au.upf
Zr 91.22 Zr.upf
CELL_PARAMETERS angstrom
3.6126 0.0005 0.0000
1.8056 7.5033 0.0000
0.0000 0.0000 3.2549
ATOMIC_POSITIONS crystal
B 0.5990 0.4792 0.1465
B 0.6523 0.3727 0.6465
Au 0.4268 0.8237 0.1464
Au 0.8245 0.0283 0.6464
Zr 0.0364 0.6044 0.6464
Zr 0.2148 0.2475 0.1464
```

***

Entry 4:
The following is a PBE calculation of a relaxed structure of ZrBAu, from Alexandria. Values from VASP.

Output
Volume in Å³ per atom: 17.192
Total magnetization in μB per formula unit: 0.00
Density of states at the Fermi level in states/eV/atom: 0.550

Geometry as Quantum ESPRESSO input:
```
&SYSTEM
  ibrav = 0, nat = 6, ntyp = 3
/
ATOMIC_SPECIES
B 10.81 B.upf
Au 196.97 Au.upf
Zr 91.22 Zr.upf
CELL_PARAMETERS angstrom
4.1013 0.0000 0.0000
0.0000 4.1013 0.0000
0.0000 0.0000 6.1324
ATOMIC_POSITIONS crystal
B 0.0000 0.0000 0.5000
B 0.5000 0.5000 0.5000
Au 0.0000 0.5000 0.8716
Au 0.5000 0.0000 0.1284
Zr 0.0000 0.5000 0.3329
Zr 0.5000 0.0000 0.6671
```

***

Entry 5:
The following is a PBE calculation of a relaxed structure of ZrBAu, from Alexandria. Values from VASP.

Output
Volume in Å³ per atom: 15.289
Total magnetization in μB per formula unit: 0.00
Density of states at the Fermi level in states/eV/atom: 0.408

Geometry as Quantum ESPRESSO input:
```
&SYSTEM
  ibrav = 0, nat = 6, ntyp = 3
/
ATOMIC_SPECIES
B 10.81 B.upf
Au 196.97 Au.upf
Zr 91.22 Zr.upf
CELL_PARAMETERS angstrom
-2.9866 -3.7371 -0.3920
3.9565 -1.1842 -4.6275
1.3407 -1.3532 2.6400
ATOMIC_POSITIONS crystal
B 0.9090 0.4284 0.8473
B 0.0461 0.4235 0.3449
Au 0.2010 0.7944 0.0319
Au 0.7541 0.0575 0.1603
Zr 0.6493 0.6330 0.4500
Zr 0.3058 0.2189 0.7422
```

***

Entry 6:
The following is a PBE calculation of a relaxed structure of ZrBAu, from Alexandria. Values from VASP.

Output
Volume in Å³ per atom: 15.650
Total magnetization in μB per formula unit: 0.00
Density of states at the Fermi level in states/eV/atom: 0.405

Geometry as Quantum ESPRESSO input:
```
&SYSTEM
  ibrav = 0, nat = 6, ntyp = 3
/
ATOMIC_SPECIES
B 10.81 B.upf
Au 196.97 Au.upf
Zr 91.22 Zr.upf
CELL_PARAMETERS angstrom
3.9198 -2.2631 0.0000
0.0000 4.5262 0.0000
0.0000 0.0000 5.2925
ATOMIC_POSITIONS crystal
B 0.3333 0.6667 0.2500
B 0.6667 0.3333 0.7500
Au 0.0000 0.0000 0.0000
Au 0.0000 0.0000 0.5000
Zr 0.3333 0.6667 0.7500
Zr 0.6667 0.3333 0.2500
```

***

Entry 7:
The following is a PBE calculation of a relaxed structure of ZrBAu, from Alexandria. Values from VASP.

Output
Volume in Å³ per atom: 16.146
Total magnetization in μB per formula unit: 0.00
Density of states at the Fermi level in states/eV/atom: 0.330

Geometry as Quantum ESPRESSO input:
```
&SYSTEM
  ibrav = 0, nat = 6, ntyp = 3
/
ATOMIC_SPECIES
B 10.81 B.upf
Au 196.97 Au.upf
Zr 91.22 Zr.upf
CELL_PARAMETERS angstrom
-3.7890 -2.7944 2.7762
4.0303 -1.3999 -2.3009
4.1054 -2.4318 3.6537
ATOMIC_POSITIONS crystal
B 0.5793 0.2350 0.8616
B 0.6651 0.1528 0.1349
Au 0.0334 0.6641 0.2178
Au 0.6530 0.7292 0.4950
Zr 0.2375 0.8455 0.6396
Zr 0.5223 0.6196 0.0262
```

***

Entry 8:
The following is a PBE calculation of a relaxed structure of Ba7Au3, from Alexandria. Values from VASP.

Output
Volume in Å³ per atom: 45.626
Total magnetization in μB per formula unit: 0.00
Density of states at the Fermi level in states/eV/atom: 1.135

Geometry as Quantum ESPRESSO input:
```
&SYSTEM
  ibrav = 0, nat = 20, ntyp = 2
/
ATOMIC_SPECIES
Ba 137.33 Ba.upf
Au 196.97 Au.upf
CELL_PARAMETERS angstrom
7.6515 0.0000 0.0000
0.0000 10.1628 -5.8675
0.0000 0.0000 11.7350
ATOMIC_POSITIONS crystal
Ba 0.1499 0.6667 0.3333
Ba 0.6499 0.3333 0.6667
Ba 0.9483 0.8769 0.7538
Ba 0.9483 0.8769 0.1231
Ba 0.9483 0.2462 0.1231
Ba 0.4483 0.1231 0.2462
Ba 0.4483 0.1231 0.8769
Ba 0.4483 0.7538 0.8769
Ba 0.1148 0.4570 0.9140
Ba 0.1148 0.4570 0.5430
Ba 0.1148 0.0860 0.5430
Ba 0.6148 0.5430 0.0860
Ba 0.6148 0.5430 0.4570
Ba 0.6148 0.9140 0.4570
Au 0.8563 0.1888 0.3776
Au 0.8563 0.1888 0.8112
Au 0.8563 0.6224 0.8112
Au 0.3563 0.8112 0.6224
Au 0.3563 0.8112 0.1888
Au 0.3563 0.3776 0.1888
```

***

Record-wise energy of formation values, in eV per atom: -0.65; -0.27; -0.71; 0.11; -0.43; 0.08; -0.24; -0.47